Record 1
Compound: NdDy2Ta
Source: the Alexandria database
Functional: GGA-PBE
Structure: relaxed

POSCAR file:
```
NdDy2Ta
1.0
1.647 0.951 11.846
-1.647 0.951 11.846
0.000 -1.902 11.846
Nd Dy Ta
1 2 1
Direct
0.000 0.000 0.000
0.418 0.418 0.418
0.582 0.582 0.582
0.500 0.500 0.500
```

Properties
ΔE_f (meV per atom): 628
Density (Mg/m³): 9.7
M_tot (μB per formula unit): 0.09

=====

Record 2
Compound: Tb3NdDy7
Source: the Alexandria database
Functional: GGA-PBE
Structure: relaxed

POSCAR file:
```
Tb3NdDy7
1.0
7.061 0.000 0.000
-3.531 6.115 0.000
0.000 0.000 8.615
Tb Nd Dy
3 1 7
Direct
0.167 0.334 0.000
0.167 0.833 0.000
0.666 0.833 0.000
0.000 0.000 0.661
0.002 0.501 0.664
0.331 0.166 0.332
0.333 0.667 0.336
0.499 0.501 0.664
0.499 0.998 0.664
0.834 0.166 0.332
0.834 0.669 0.332
```

Properties
ΔE_f (meV per atom): 191
Density (Mg/m³): 7.8
M_tot (μB per formula unit): 0.00

=====

Record 3
Compound: Tb8Nd2Dy3
Source: the Alexandria database
Functional: GGA-PBE
Structure: relaxed

POSCAR file:
```
Tb8Nd2Dy3
1.0
10.344 -3.823 0.000
10.344 3.823 0.000
-0.002 0.000 5.577
Tb Nd Dy
8 2 3
Direct
0.105 0.683 0.000
0.163 0.163 0.501
0.317 0.895 0.000
0.371 0.371 0.500
0.629 0.629 0.500
0.683 0.105 0.000
0.837 0.837 0.499
0.895 0.317 0.000
0.259 0.259 0.001
0.741 0.741 0.999
0.213 0.787 0.500
0.500 0.500 0.000
0.787 0.213 0.500
```

Properties
ΔE_f (meV per atom): 233
Density (Mg/m³): 7.7
M_tot (μB per formula unit): 0.00

=====

Record 4
Compound: TbNd6Dy3
Source: the Alexandria database
Functional: GGA-PBE
Structure: relaxed

POSCAR file:
```
TbNd6Dy3
1.0
4.926 -10.726 0.000
4.926 10.726 0.000
0.000 0.000 6.458
Tb Nd Dy
2 12 6
Direct
0.158 0.842 0.500
0.842 0.158 0.000
0.016 0.984 0.701
0.106 0.545 0.192
0.260 0.380 0.945
0.301 0.699 0.716
0.380 0.260 0.445
0.455 0.894 0.192
0.545 0.106 0.692
0.620 0.740 0.945
0.699 0.301 0.216
0.740 0.620 0.445
0.894 0.455 0.692
0.984 0.016 0.201
0.042 0.293 0.524
0.293 0.042 0.024
0.420 0.580 0.425
0.580 0.420 0.925
0.707 0.958 0.524
0.958 0.707 0.024
```

Properties
ΔE_f (meV per atom): 124
Density (Mg/m³): 7.4
M_tot (μB per formula unit): 0.00

=====

Record 5
Compound: Tb12Nd5Dy
Source: the Alexandria database
Functional: GGA-PBE
Structure: relaxed

POSCAR file:
```
Tb12Nd5Dy
1.0
5.912 -8.657 0.000
5.912 8.657 0.000
-0.001 0.000 5.777
Tb Nd Dy
12 5 1
Direct
0.026 0.667 0.000
0.167 0.525 0.500
0.202 0.202 0.502
0.301 0.301 0.002
0.333 0.974 0.000
0.475 0.833 0.500
0.525 0.167 0.500
0.667 0.026 0.000
0.699 0.699 0.998
0.798 0.798 0.498
0.833 0.475 0.500
0.974 0.333 0.000
0.000 0.000 0.000
0.138 0.862 0.500
0.364 0.636 0.000
0.636 0.364 0.000
0.862 0.138 0.500
0.500 0.500 0.500
```

Properties
ΔE_f (meV per atom): 88
Density (Mg/m³): 7.8
M_tot (μB per formula unit): 0.00

=====

Record 6
Compound: Tb2NdDy
Source: the Alexandria database
Functional: GGA-PBE
Structure: relaxed

POSCAR file:
```
Tb2NdDy
1.0
-2.539 2.539 5.061
2.539 -2.539 5.061
2.539 2.539 -5.061
Tb Nd Dy
2 1 1
Direct
0.000 0.000 0.000
0.750 0.250 0.500
0.250 0.750 0.500
0.500 0.500 0.000
```

Properties
ΔE_f (meV per atom): 17
Density (Mg/m³): 7.9
M_tot (μB per formula unit): 0.00

=====

Record 7
Compound: Tb2Nd3Dy4
Source: the Alexandria database
Functional: GGA-PBE
Structure: relaxed

POSCAR file:
```
Tb2Nd3Dy4
1.0
5.951 -1.797 0.000
5.951 1.797 0.000
-5.392 0.000 13.779
Tb Nd Dy
2 3 4
Direct
0.054 0.054 0.221
0.946 0.946 0.779
0.390 0.390 0.557
0.500 0.500 0.000
0.610 0.610 0.443
0.170 0.170 0.670
0.278 0.278 0.111
0.722 0.722 0.889
0.830 0.830 0.330
```

Properties
ΔE_f (meV per atom): 16
Density (Mg/m³): 7.9
M_tot (μB per formula unit): 0.00

=====

Record 8
Compound: Tb5NdDy
Source: the Alexandria database
Functional: GGA-PBE
Structure: relaxed

POSCAR file:
```
Tb5NdDy
1.0
-2.895 4.322 5.968
2.895 -4.322 5.968
2.895 4.322 -5.968
Tb Nd Dy
5 1 1
Direct
0.000 0.000 0.000
0.246 0.746 0.500
0.322 0.500 0.822
0.678 0.500 0.178
0.754 0.254 0.500
0.000 0.500 0.500
0.500 0.000 0.500
```

Properties
ΔE_f (meV per atom): 1068
Density (Mg/m³): 6.1
M_tot (μB per formula unit): 0.00